[1]
The following is a PBE calculation of a geometry-optimized Ce2DyPbN structure, from the Alexandria database.

Calculated values
Raw total energy = -6.574 eV per atom
D(E_F) = 1.7836 states/eV/atom
Theoretical density = 9.32 g/cm³
Spin magnetization = 1.74 Bohr magnetons per cell
Raw formation energy = -84.3 kJ/mol of atoms

Cell and atoms, written as CIF:
```
data_Ce2DyPbN
_chemical_formula_sum 'Ce2 Dy1 Pb1 N1'
_symmetry_space_group_name_H-M 'P 4/m m m'
_symmetry_Int_Tables_number 123
_symmetry_space_group_name_Hall '-P 4 2'
_cell_length_a 4.910
_cell_length_b 4.910
_cell_length_c 4.905
_cell_angle_alpha 90.00
_cell_angle_beta 90.00
_cell_angle_gamma 90.00
loop_
_atom_site_label
_atom_site_type_symbol
_atom_site_fract_x
_atom_site_fract_y
_atom_site_fract_z
_atom_site_occupancy
Ce1 Ce 0.000 0.500 0.000 1
Dy1 Dy 0.000 0.000 0.500 1
Pb1 Pb 0.500 0.500 0.500 1
N1 N 0.000 0.000 0.000 1
```

---

[2]
The following is a PBE calculation of a geometry-optimized Ce3Pm4DyN8 structure, from the Alexandria database.

Calculated values
Raw total energy = -8.260 eV per atom
D(E_F) = 0.5154 states/eV/atom
Theoretical density = 8.20 g/cm³
Spin magnetization = 0.00 Bohr magnetons per cell
Raw formation energy = -145.7 kJ/mol of atoms

Cell and atoms, written as CIF:
```
data_Ce3Pm4DyN8
_chemical_formula_sum 'Ce9 Pm12 Dy3 N24'
_symmetry_space_group_name_H-M 'R -3 m'
_symmetry_Int_Tables_number 166
_symmetry_space_group_name_Hall '-R 3 2"'
_cell_length_a 7.1465
_cell_length_b 7.1465
_cell_length_c 17.5126
_cell_angle_alpha 90.00
_cell_angle_beta 90.00
_cell_angle_gamma 120.00
loop_
_atom_site_label
_atom_site_type_symbol
_atom_site_fract_x
_atom_site_fract_y
_atom_site_fract_z
_atom_site_occupancy
Ce1 Ce 0.0000 0.5000 0.0000 1
Pm1 Pm 0.0000 0.0000 0.5000 1
Pm2 Pm 0.0000 0.5000 0.5000 1
Dy1 Dy 0.0000 0.0000 0.0000 1
N1 N 0.0000 0.0000 0.2538 1
N2 N 0.0013 0.5007 0.2543 1
```

---

[3]
The following is a PBE calculation of a geometry-optimized CePm2DyN4 structure, from the Alexandria database.

Calculated values
Raw total energy = -8.198 eV per atom
D(E_F) = 0.3571 states/eV/atom
Theoretical density = 8.43 g/cm³
Spin magnetization = 0.00 Bohr magnetons per cell
Raw formation energy = -147.6 kJ/mol of atoms

Cell and atoms, written as CIF:
```
data_CePm2DyN4
_chemical_formula_sum 'Ce1 Pm2 Dy1 N4'
_symmetry_space_group_name_H-M 'P 1 2/m 1'
_symmetry_Int_Tables_number 10
_symmetry_space_group_name_Hall '-P 2y'
_cell_length_a 6.153
_cell_length_b 3.567
_cell_length_c 6.169
_cell_angle_alpha 90.00
_cell_angle_beta 109.29
_cell_angle_gamma 90.00
loop_
_atom_site_label
_atom_site_type_symbol
_atom_site_fract_x
_atom_site_fract_y
_atom_site_fract_z
_atom_site_occupancy
Ce1 Ce 0.000 0.000 0.000 1
Pm1 Pm 0.000 0.500 0.500 1
Pm2 Pm 0.500 0.000 0.500 1
Dy1 Dy 0.500 0.500 0.000 1
N1 N 0.245 0.500 0.238 1
N2 N 0.251 0.000 0.762 1
```